VASP calculation (PBE) on crystalline Cd2NiIr at its relaxed geometry.

**Total magnetization**: 0.000 μB/atom
**DFT formation energy**: 0.191 eV per atom
**Total DFT energy (no corrections)**: -3.927 eV per atom
**SG**: Pm (6)

Lattice parameters (Å, degrees): 4.3586 2.9296 5.4572 74.61 90.00 90.00
Closest atoms and distances in Å follow each position.
Atoms (fractional coordinates):
Cd1 0.0000 0.9564 0.9625  3 Ir 2.82-2.85, 4 Ni 2.86-2.87, 6 Cd 2.93-3.14
Cd2 0.5000 0.2917 0.2892  3 Ni 2.80-2.87, 4 Ir 2.86, 4 Cd 2.93-3.13
Ir1 0.0000 0.6842 0.5044  2 Ni 2.52, 1 Cd 2.82
Ni1 0.5000 0.5677 0.7438  2 Ir 2.52, 2 Cd 2.80-2.81